Entry 1:
Entry from Alexandria via LeMat-Bulk: a geometry-optimized RbGa2Si2 structure (PBE-GGA).

abc: 8.3406 8.3406 3.1564
angles: 90.00 90.00 90.00
Space group P4/mbm (No. 127)
Symmetry-distinct sites (fractional):
Rb  0.0000  0.0000  0.0000 [2 per cell]
Ga  0.1307  0.3693  0.0000 [4 per cell]
Si  0.1384  0.6384  0.5000 [4 per cell]

The value obtained for the polymorph energy (0 for the lowest one) is 281 meV/atom. The total magnetization is 0.000 μB per atom.

Entry 2:
Entry from Alexandria via LeMat-Bulk: a geometry-optimized RbGaSi3 structure (PBE-GGA).

abc: 5.6243 5.6243 5.6243
angles: 90.00 90.00 90.00
Space group Pm-3m (No. 221)
Symmetry-distinct sites (fractional):
Rb  0.0000  0.0000  0.0000 [1 per cell]
Ga  0.5000  0.5000  0.5000 [1 per cell]
Si  0.0000  0.0000  0.5000 [3 per cell]

The value obtained for the polymorph energy (0 for the lowest one) is 1334 meV/atom. The total magnetization is 0.000 μB per atom.

Entry 3:
Entry from Alexandria via LeMat-Bulk: a geometry-optimized RbGaSi structure (PBE-GGA).

abc: 8.3059 4.6995 7.5892
angles: 90.00 90.00 90.00
Space group Pnma (No. 62)
Symmetry-distinct sites (fractional):
Rb  0.0016  0.2500  0.1580 [4 per cell]
Ga  0.1543  0.7500  0.4121 [4 per cell]
Si  0.1636  0.2500  0.5972 [4 per cell]

The total magnetization is 0.000 μB per atom. The calculation puts the energy at -3.0714 eV per atom.

Entry 4:
Entry from Alexandria via LeMat-Bulk: a geometry-optimized RbGa2Si structure (PBE-GGA).

abc: 4.1311 4.1311 26.9576
angles: 90.00 90.00 120.00
Space group R-3m (No. 166, hexagonal axes)
Symmetry-distinct sites (fractional):
Rb  0.0000  0.0000  0.0000 [3 per cell]
Ga  0.0000  0.0000  0.1275 [6 per cell]
Si  0.0000  0.0000  0.5000 [3 per cell]

The total magnetization is 0.000 μB per atom. The calculation puts the energy at -2.8887 eV per atom.

Entry 5:
Entry from Alexandria via LeMat-Bulk: a geometry-optimized Rb2GaSi structure (PBE-GGA).

abc: 8.3889 8.3889 8.3889
angles: 90.00 90.00 90.00
Space group Fm-3m (No. 225)
Symmetry-distinct sites (fractional):
Rb  0.2500  0.2500  0.2500 [8 per cell]
Ga  0.0000  0.0000  0.0000 [4 per cell]
Si  0.0000  0.0000  0.5000 [4 per cell]

The value obtained for the polymorph energy (0 for the lowest one) is 467 meV/atom. The total magnetization is 0.250 μB per atom.

Entry 6:
Entry from Alexandria via LeMat-Bulk: a geometry-optimized RbGaSi structure (PBE-GGA).

abc: 13.9276 3.7422 8.2839
angles: 90.00 116.90 90.00
Space group Cm (No. 8)
Symmetry-distinct sites (fractional):
Rb  0.0000  0.0000  0.0000 [2 per cell]
Rb  0.1359  0.0000  0.6144 [2 per cell]
Ga  0.2344  0.5000  0.3268 [2 per cell]
Ga  0.3920  0.0000  0.5603 [2 per cell]
Si  0.2546  0.5000  0.0444 [2 per cell]
Si  0.3489  0.0000  0.2334 [2 per cell]

The total magnetization is 0.000 μB per atom. The calculation puts the energy at -3.0853 eV per atom.

Entry 7:
Entry from Alexandria via LeMat-Bulk: a geometry-optimized RbGaSi structure (PBE-GGA).

abc: 5.6506 5.9405 11.3128
angles: 90.00 90.00 90.00
Space group Immm (No. 71)
Symmetry-distinct sites (fractional):
Rb  0.0000  0.0000  0.1922 [4 per cell]
Ga  0.0000  0.2962  0.5000 [4 per cell]
Si  0.2019  0.5000  0.0000 [4 per cell]

The total magnetization is 0.000 μB per atom. The calculation puts the energy at -3.1709 eV per atom.

Entry 8:
Entry from Alexandria via LeMat-Bulk: a geometry-optimized RbGa2Si2 structure (PBE-GGA).

abc: 4.6975 4.6975 9.9377
angles: 90.00 90.00 90.00
Space group I4/mmm (No. 139)
Symmetry-distinct sites (fractional):
Rb  0.0000  0.0000  0.0000 [2 per cell]
Ga  0.0000  0.5000  0.2500 [4 per cell]
Si  0.0000  0.0000  0.3764 [4 per cell]

The value obtained for the polymorph energy (0 for the lowest one) is 0 meV/atom. The total magnetization is 0.000 μB per atom.

Entry 9:
Entry from Alexandria via LeMat-Bulk: a geometry-optimized RbGaSi structure (PBE-GGA).

abc: 4.2072 5.8209 7.2926
angles: 90.00 90.00 90.00
Space group Pmmm (No. 47)
Symmetry-distinct sites (fractional):
Rb  0.0000  0.0000  0.0000 [1 per cell]
Rb  0.5000  0.0000  0.5000 [1 per cell]
Ga  0.0000  0.5000  0.3284 [2 per cell]
Si  0.5000  0.5000  0.1613 [2 per cell]

The total magnetization is 0.000 μB per atom. The calculation puts the energy at -3.2138 eV per atom.

Entry 10:
Entry from Alexandria via LeMat-Bulk: a geometry-optimized RbGaSi structure (PBE-GGA).

abc: 4.1258 6.0220 7.7871
angles: 99.41 91.16 109.96
Space group P1 (No. 1)
Symmetry-distinct sites (fractional):
Rb  0.0000  0.0000  0.0000 [1 per cell]
Rb  0.2530  0.4532  0.6664 [1 per cell]
Ga  0.3074  0.6068  0.1742 [1 per cell]
Ga  0.7173  0.4172  0.2909 [1 per cell]
Si  0.5237  0.0124  0.3777 [1 per cell]
Si  0.9414  0.8392  0.4785 [1 per cell]

The total magnetization is 0.000 μB per atom. The calculation puts the energy at -3.1326 eV per atom.

Entry 11:
Entry from Alexandria via LeMat-Bulk: a geometry-optimized Rb3Ga4Si structure (PBE-GGA).

abc: 11.3679 6.9218 15.2838
angles: 90.00 101.02 90.00
Space group P2_1/c (No. 14)
Symmetry-distinct sites (fractional):
Rb  0.0081  0.1065  0.1527 [4 per cell]
Rb  0.2770  0.7042  0.1041 [4 per cell]
Rb  0.4438  0.6217  0.3641 [4 per cell]
Ga  0.0430  0.1047  0.4431 [4 per cell]
Ga  0.2523  0.2125  0.9870 [4 per cell]
Ga  0.3301  0.1594  0.2732 [4 per cell]
Ga  0.4289  0.1009  0.4410 [4 per cell]
Si  0.2068  0.0057  0.3692 [4 per cell]

The total magnetization is 0.000 μB per atom. The calculation puts the energy at -2.5443 eV per atom.

Entry 12:
Entry from Alexandria via LeMat-Bulk: a geometry-optimized RbGaSi structure (PBE-GGA).

abc: 4.1869 4.4886 9.3765
angles: 90.00 90.00 90.00
Space group Pmm2 (No. 25)
Symmetry-distinct sites (fractional):
Rb  0.0000  0.0000  0.0000 [1 per cell]
Rb  0.5000  0.5000  0.3443 [1 per cell]
Ga  0.0000  0.0000  0.4990 [1 per cell]
Ga  0.5000  0.0000  0.6784 [1 per cell]
Si  0.0000  0.5000  0.6737 [1 per cell]
Si  0.5000  0.5000  0.8256 [1 per cell]

The total magnetization is 0.000 μB per atom. The calculation puts the energy at -3.1152 eV per atom.

Repeat the third record exactly.
Entry from Alexandria via LeMat-Bulk: a geometry-optimized RbGaSi structure (PBE-GGA).

abc: 8.3059 4.6995 7.5892
angles: 90.00 90.00 90.00
Space group Pnma (No. 62)
Symmetry-distinct sites (fractional):
Rb  0.0016  0.2500  0.1580 [4 per cell]
Ga  0.1543  0.7500  0.4121 [4 per cell]
Si  0.1636  0.2500  0.5972 [4 per cell]

The total magnetization is 0.000 μB per atom. The calculation puts the energy at -3.0714 eV per atom.